Version A
Here is a relaxed NbNi2F crystal from the Alexandria database. Energies are from PBE+U.

```
NbNi2F
1.0
0.000 2.938 2.938
2.938 0.000 2.938
2.938 2.938 0.000
Nb Ni F
1 2 1
direct
0.000 0.000 0.000
0.250 0.250 0.250
0.750 0.750 0.750
0.500 0.500 0.500
```

Computed properties:
DOS(E_F)   1.5 states/eV/cell

***

Version B
Here is a relaxed NbNi2F crystal from the Alexandria database. Energies are from PBE+U.

```
NbNi2F
1.0
-3.296 3.296 2.314
3.296 -3.296 2.314
3.296 3.296 -2.314
Nb Ni F
2 4 2
direct
0.000 0.000 0.000
0.750 0.250 0.500
0.146 0.625 0.021
0.375 0.396 0.521
0.604 0.125 0.979
0.875 0.854 0.479
0.250 0.750 0.500
0.500 0.500 0.000
```

Computed properties:
DOS(E_F)   1.3 states/eV/cell

***

Which of them is the most stable, and which is the least stable? version B and version A, in that order.